VASP calculation (GGA-PBE) on crystalline La3Tb12Ho at its relaxed geometry.

E_form: 0.03 eV per atom

a b c (Å): 5.085 5.085 20.344
angles (deg): 90.00 90.00 90.00
Element x y z (fractional)
La 0.000 0.000 0.250
La 0.000 0.000 0.500
La 0.000 0.000 0.750
Tb 0.500 0.500 0.000
Tb 0.500 0.500 0.248
Tb 0.500 0.500 0.500
Tb 0.500 0.500 0.752
Tb 0.500 0.000 0.122
Tb 0.500 0.000 0.374
Tb 0.500 0.000 0.626
Tb 0.500 0.000 0.878
Tb 0.000 0.500 0.122
Tb 0.000 0.500 0.374
Tb 0.000 0.500 0.626
Tb 0.000 0.500 0.878
Ho 0.000 0.000 0.000